Record 1
A relaxed K2CrRe crystal. Source: the Alexandria database, functional PBE.

Cell: 6.889 6.889 6.889 Å, 152.67 126.49 61.11°
Positions (direct):
K: 0.000 0.000 0.000
K: 0.706 0.206 0.500
Cr: 0.413 0.413 0.000
Re: 0.288 0.788 0.500

* excess energy over the best structure of this formula in the dataset: 1.24 eV per formula unit
* crystal system: orthorhombic
* formation energy from the elements: 1.1717 eV per atom


Record 2
A relaxed VTePdSe crystal. Source: the Alexandria database, functional PBE.

Cell: 3.994 3.994 7.621 Å, 105.29 105.29 60.03°
Positions (direct):
V: 0.000 0.000 0.000
Te: 0.212 0.212 0.641
Pd: 0.604 0.604 0.813
Se: 0.720 0.720 0.158

* crystal system: monoclinic
* total DFT energy (no corrections): -0.408 Ry per atom


Record 3
A relaxed KSr3Au crystal. Source: the Alexandria database, functional PBE.

Cell: 6.828 6.828 11.712 Å, 96.48 96.48 64.59°
Positions (direct):
K: 0.187 0.187 0.058
K: 0.813 0.813 0.942
Sr: 0.091 0.091 0.690
Sr: 0.248 0.248 0.417
Sr: 0.448 0.448 0.737
Sr: 0.552 0.552 0.263
Sr: 0.752 0.752 0.583
Sr: 0.909 0.909 0.310
Au: 0.290 0.710 0.500
Au: 0.710 0.290 0.500

* excess energy over the best structure of this formula in the dataset: 0.21 eV per formula unit
* crystal system: monoclinic
* formation energy from the elements: -0.2747 eV per atom


Record 4
A relaxed KSr2B2S6 crystal. Source: the Alexandria database, functional PBE.

Cell: 6.271 6.344 7.978 Å, 83.57 78.19 65.10°
Positions (direct):
K: 0.000 0.000 0.000
Sr: 0.310 0.366 0.668
Sr: 0.690 0.634 0.332
B: 0.320 0.401 0.239
B: 0.680 0.599 0.761
S: 0.161 0.679 0.344
S: 0.219 0.325 0.066
S: 0.417 0.817 0.685
S: 0.583 0.183 0.315
S: 0.781 0.675 0.934
S: 0.839 0.321 0.656

* crystal system: triclinic
* total DFT energy (no corrections): -0.367 Ry per atom


Record 5
A relaxed Rb3AuI4 crystal. Source: the Alexandria database, functional PBE.

Cell: 11.026 12.181 7.365 Å, 90.00 90.00 90.00°
Positions (direct):
Rb: 0.000 0.136 0.000
Rb: 0.246 0.656 0.002
Rb: 0.254 0.344 0.502
Rb: 0.500 0.864 0.500
Rb: 0.746 0.344 0.502
Rb: 0.754 0.656 0.002
Au: 0.000 0.708 0.617
Au: 0.500 0.292 0.117
I: 0.000 0.170 0.500
I: 0.000 0.840 0.926
I: 0.226 0.650 0.501
I: 0.274 0.350 0.001
I: 0.500 0.160 0.426
I: 0.500 0.830 0.000
I: 0.726 0.350 0.001
I: 0.774 0.650 0.501

* crystal system: orthorhombic
* total DFT energy (no corrections): -0.192 Ry per atom


Record 6
A relaxed LiY2Ag crystal. Source: the Alexandria database, functional PBE.

Cell: 5.178 5.178 5.178 Å, 60.00 60.00 60.00°
Positions (direct):
Li: 0.000 0.000 0.000
Y: 0.250 0.250 0.250
Y: 0.750 0.750 0.750
Ag: 0.500 0.500 0.500

* excess energy over the best structure of this formula in the dataset: 0.02 eV per formula unit
* crystal system: cubic
* formation energy from the elements: -0.1187 eV per atom


Record 7
A relaxed MgSiSb2 crystal. Source: the Alexandria database, functional PBE.

Cell: 3.206 3.206 9.087 Å, 90.00 90.00 95.04°
Positions (direct):
Mg: 0.000 0.000 0.000
Si: 0.500 0.500 0.201
Sb: 0.000 0.000 0.416
Sb: 0.500 0.500 0.753

* crystal system: orthorhombic
* total DFT energy (no corrections): -0.266 Ry per atom


Record 8
A relaxed Y2NiAg crystal. Source: the Alexandria database, functional PBE.

Cell: 4.973 4.973 3.559 Å, 90.08 90.08 89.98°
Positions (direct):
Y: 0.000 0.500 0.000
Y: 0.500 0.000 0.000
Ni: 0.000 0.000 0.500
Ag: 0.500 0.500 0.500

* crystal system: monoclinic
* formation energy from the elements: -0.3004 eV per atom


Record 9
A relaxed SmHoAgPt crystal. Source: the Alexandria database, functional PBE.

Cell: 5.066 5.066 5.066 Å, 60.00 60.00 60.00°
Positions (direct):
Sm: 0.000 0.000 0.000
Ho: 0.500 0.500 0.500
Ag: 0.250 0.250 0.250
Pt: 0.750 0.750 0.750

* crystal system: cubic
* formation energy from the elements: -0.7488 eV per atom


Record 10
A relaxed TlPt3S crystal. Source: the Alexandria database, functional PBE.

Cell: 4.618 4.618 4.618 Å, 90.00 90.00 90.00°
Positions (direct):
Tl: 0.000 0.000 0.000
Pt: 0.000 0.500 0.500
Pt: 0.500 0.000 0.500
Pt: 0.500 0.500 0.000
S: 0.500 0.500 0.500

* excess energy over the best structure of this formula in the dataset: 0.00 eV per formula unit
* crystal system: cubic


Record 11
A relaxed Nd2Er3ThSe6 crystal. Source: the Alexandria database, functional PBE.

Cell: 9.345 9.345 8.397 Å, 105.75 105.75 25.15°
Positions (direct):
Nd: 0.163 0.163 0.326
Nd: 0.837 0.837 0.674
Er: 0.166 0.166 0.834
Er: 0.500 0.500 0.500
Er: 0.834 0.834 0.166
Th: 0.500 0.500 0.000
Se: 0.005 0.005 0.740
Se: 0.329 0.329 0.929
Se: 0.336 0.336 0.407
Se: 0.664 0.664 0.593
Se: 0.671 0.671 0.071
Se: 0.995 0.995 0.260

* crystal system: monoclinic
* total DFT energy (no corrections): -0.442 Ry per atom


Record 12
A relaxed LiTmGeO4 crystal. Source: the Alexandria database, functional PBE.

Cell: 6.102 6.102 6.102 Å, 121.26 113.99 94.27°
Positions (direct):
Li: 0.500 0.000 0.000
Li: 0.500 0.500 0.500
Tm: 0.000 0.000 0.000
Tm: 0.500 0.000 0.500
Ge: 0.130 0.380 0.750
Ge: 0.870 0.620 0.250
O: 0.210 0.736 0.475
O: 0.239 0.264 0.975
O: 0.257 0.258 0.501
O: 0.257 0.757 0.999
O: 0.743 0.243 0.001
O: 0.743 0.742 0.499
O: 0.761 0.736 0.025
O: 0.790 0.264 0.525

* crystal system: orthorhombic
* total DFT energy (no corrections): -0.503 Ry per atom


Record 13
A relaxed TbZn2CdAu2 crystal. Source: the Alexandria database, functional PBE.

Cell: 4.566 4.566 6.549 Å, 90.00 90.00 120.00°
Positions (direct):
Tb: 0.000 0.000 0.000
Zn: 0.333 0.667 0.718
Zn: 0.667 0.333 0.282
Cd: 0.000 0.000 0.500
Au: 0.333 0.667 0.255
Au: 0.667 0.333 0.745

* crystal system: trigonal
* formation energy from the elements: -0.4699 eV per atom


Record 14
A relaxed LiSi crystal. Source: the Alexandria database, functional PBE.

Cell: 7.831 7.040 4.759 Å, 80.65 62.51 36.84°
Positions (direct):
Li: 0.031 0.719 0.031
Li: 0.281 0.969 0.281
Li: 0.719 0.031 0.719
Li: 0.969 0.281 0.969
Si: 0.288 0.288 0.462
Si: 0.462 0.462 0.288
Si: 0.538 0.538 0.712
Si: 0.712 0.712 0.538

* crystal system: orthorhombic
* total DFT energy (no corrections): -0.272 Ry per atom


Record 15
A relaxed YSc2Ag crystal. Source: the Alexandria database, functional PBE.

Cell: 3.401 4.886 6.104 Å, 90.00 105.54 90.00°
Positions (direct):
Y: 0.000 0.000 0.000
Sc: 0.334 0.500 0.729
Sc: 0.666 0.500 0.271
Ag: 0.500 0.000 0.500

* excess energy over the best structure of this formula in the dataset: 0.39 eV per formula unit
* crystal system: monoclinic
* formation energy from the elements: -0.0180 eV per atom


Record 16
A relaxed La2Sm2Zn crystal. Source: the Alexandria database, functional PBE.

Cell: 11.754 11.754 11.754 Å, 161.74 161.74 25.93°
Positions (direct):
La: 0.082 0.082 0.000
La: 0.918 0.918 0.000
Sm: 0.303 0.303 0.000
Sm: 0.697 0.697 0.000
Zn: 0.500 0.500 0.000

* excess energy over the best structure of this formula in the dataset: 0.00 eV per formula unit
* crystal system: tetragonal
* formation energy from the elements: -0.1117 eV per atom


Record 17
A relaxed MoWBr crystal. Source: the Alexandria database, functional PBE.

Cell: 6.053 6.053 6.053 Å, 149.94 149.94 43.03°
Positions (direct):
Mo: 0.000 0.000 0.000
W: 0.376 0.376 0.000
Br: 0.688 0.688 0.000

* excess energy over the best structure of this formula in the dataset: 0.92 eV per formula unit
* crystal system: tetragonal


Record 18
A relaxed ThCoAs2Rh2 crystal. Source: the Alexandria database, functional PBE.

Cell: 4.491 4.491 5.391 Å, 90.00 90.00 90.00°
Positions (direct):
Th: 0.000 0.000 0.000
Co: 0.000 0.000 0.500
As: 0.000 0.500 0.500
As: 0.500 0.000 0.500
Rh: 0.500 0.500 0.240
Rh: 0.500 0.500 0.760

* crystal system: tetragonal
* formation energy from the elements: -0.3526 eV per atom


Record 19
A relaxed Rb4AuS crystal. Source: the Alexandria database, functional PBE.

Cell: 10.178 10.178 10.178 Å, 32.43 32.43 32.43°
Positions (direct):
Rb: 0.117 0.117 0.117
Rb: 0.369 0.369 0.369
Rb: 0.631 0.631 0.631
Rb: 0.883 0.883 0.883
Au: 0.500 0.500 0.500
S: 0.000 0.000 0.000

* crystal system: trigonal
* total DFT energy (no corrections): -0.180 Ry per atom


Record 20
A relaxed LiAc2InPt crystal. Source: the Alexandria database, functional PBE.

Cell: 8.449 4.419 8.602 Å, 90.00 110.73 90.00°
Positions (direct):
Li: 0.065 0.250 0.149
Li: 0.935 0.750 0.851
Ac: 0.214 0.750 0.524
Ac: 0.392 0.750 0.154
Ac: 0.608 0.250 0.846
Ac: 0.786 0.250 0.476
In: 0.167 0.250 0.828
In: 0.833 0.750 0.172
Pt: 0.389 0.250 0.398
Pt: 0.611 0.750 0.602

* crystal system: monoclinic
* formation energy from the elements: -0.6244 eV per atom


no.,total magnetic moment (μB per atom)
1,0.227
2,0.359
3,0.000
4,0.093
5,0.000
6,0.000
7,0.000
8,0.000
9,0.000
10,0.000
11,0.000
12,0.000
13,0.000
14,0.000
15,0.000
16,0.000
17,0.000
18,0.000
19,0.090
20,0.000